{"formula": "BaAsRuO5", "functional": "PBE", "state": "optimized geometry", "space_group": "C2/c", "volume_a3_per_atom": 14.69, "cell": [[-4.5332, -2.5615, 3.0146], [0.9387, -3.3332, -4.9202], [5.8946, -1.4325, 4.2043]], "species": ["O", "O", "O", "O", "O", "O", "O", "O", "O", "O", "Ba", "Ba", "Ru", "Ru", "As", "As"], "fractional_positions": [[0.6967, 0.1056, 0.3881], [0.4018, 0.2303, 0.0822], [0.9450, 0.0550, 0.7500], [0.7697, 0.5982, 0.4178], [0.3033, 0.8944, 0.6119], [0.2303, 0.4018, 0.5822], [0.1056, 0.6967, 0.8881], [0.0550, 0.9450, 0.2500], [0.8944, 0.3033, 0.1119], [0.5982, 0.7697, 0.9178], [0.6623, 0.3377, 0.7500], [0.3377, 0.6623, 0.2500], [0.0000, 0.0000, 0.0000], [0.0000, 0.0000, 0.5000], [0.6942, 0.3058, 0.2500], [0.3058, 0.6942, 0.7500]]}

***

{"formula": "Ba5As2SO", "functional": "PBE", "state": "optimized geometry", "space_group": "Cmc2_1", "volume_a3_per_atom": 34.12, "cell": [[4.6990, 0.0000, 0.0000], [-2.3495, 9.6838, 0.0000], [0.0000, 0.0000, 13.4977]], "species": ["Ba", "Ba", "Ba", "Ba", "Ba", "Ba", "Ba", "Ba", "Ba", "Ba", "O", "O", "As", "As", "As", "As", "S", "S"], "fractional_positions": [[0.6715, 0.3431, 0.8647], [0.7095, 0.4189, 0.1785], [0.2905, 0.5811, 0.6785], [0.5061, 0.0123, 0.2789], [0.6419, 0.2839, 0.5045], [0.4939, 0.9877, 0.7789], [0.3581, 0.7161, 0.0045], [0.9639, 0.9278, 0.5265], [0.0361, 0.0722, 0.0265], [0.3285, 0.6569, 0.3647], [0.4550, 0.9101, 0.4489], [0.5450, 0.0899, 0.9489], [0.8869, 0.7737, 0.1883], [0.1131, 0.2263, 0.6883], [0.1294, 0.2589, 0.3172], [0.8706, 0.7411, 0.8172], [0.8002, 0.6003, 0.5164], [0.1998, 0.3997, 0.0164]]}

***

{"formula": "BaAs2SO", "functional": "PBE", "state": "optimized geometry", "space_group": "P4/mmm", "volume_a3_per_atom": 22.16, "cell": [[-1.9493, -4.2198, -1.3855], [1.6563, 0.6656, -4.3573], [4.1007, -2.2912, 1.2087]], "species": ["Ba", "O", "As", "As", "S"], "fractional_positions": [[0.5000, 0.5000, 0.5000], [0.0000, 0.5000, 0.0000], [0.0000, 0.0000, 0.5000], [0.5000, 0.0000, 0.0000], [0.0000, 0.0000, 0.0000]]}

***

{"formula": "Ba5Sb2AsO", "functional": "PBE", "state": "optimized geometry", "space_group": "Cmc2_1", "volume_a3_per_atom": 38.97, "cell": [[4.9205, 0.0000, 0.0000], [-2.4602, 10.0868, 0.0000], [0.0000, 0.0000, 14.1340]], "species": ["Ba", "Ba", "Ba", "Ba", "Ba", "Ba", "Ba", "Ba", "Ba", "Ba", "O", "O", "Sb", "Sb", "Sb", "Sb", "As", "As"], "fractional_positions": [[0.6604, 0.3208, 0.8817], [0.6549, 0.3098, 0.5127], [0.0214, 0.0428, 0.9921], [0.7166, 0.4331, 0.1865], [0.3451, 0.6902, 0.0127], [0.3396, 0.6792, 0.3817], [0.9786, 0.9572, 0.4921], [0.5166, 0.0332, 0.2663], [0.2834, 0.5669, 0.6865], [0.4834, 0.9668, 0.7663], [0.5342, 0.0684, 0.9239], [0.4658, 0.9316, 0.4239], [0.8953, 0.7905, 0.1884], [0.8603, 0.7207, 0.8343], [0.1047, 0.2095, 0.6884], [0.1397, 0.2793, 0.3343], [0.1840, 0.3680, 0.0381], [0.8160, 0.6320, 0.5381]]}

***

{"formula": "Ba4SbAsO", "functional": "PBE", "state": "optimized geometry", "space_group": "Cmcm", "volume_a3_per_atom": 35.94, "cell": [[-2.7731, 4.4620, -5.2586], [2.2109, -4.8233, -5.2585], [-6.5811, -6.5078, 3.2021]], "species": ["Ba", "Ba", "Ba", "Ba", "Ba", "Ba", "Ba", "Ba", "As", "As", "O", "O", "Sb", "Sb"], "fractional_positions": [[0.5651, 0.2500, 0.1302], [0.0835, 0.7500, 0.1670], [0.4349, 0.7500, 0.8698], [0.9165, 0.2500, 0.8330], [0.5000, 0.0000, 0.5000], [0.5000, 0.5000, 0.5000], [0.0000, 0.0000, 0.5000], [0.0000, 0.5000, 0.5000], [0.3834, 0.2500, 0.7667], [0.6166, 0.7500, 0.2333], [0.2356, 0.7500, 0.4711], [0.7644, 0.2500, 0.5289], [0.1109, 0.2500, 0.2219], [0.8891, 0.7500, 0.7781]]}

***

{"formula": "BaSbAs2O8", "functional": "PBE", "state": "optimized geometry", "space_group": "P-3", "volume_a3_per_atom": 16.18, "cell": [[-1.3820, 0.8757, 4.9968], [2.4993, -4.4403, -1.2969], [7.1301, 3.6227, 1.3372]], "species": ["As", "As", "O", "O", "O", "O", "O", "O", "O", "O", "Ba", "Sb"], "fractional_positions": [[0.6667, 0.3333, 0.2673], [0.3333, 0.6667, 0.7327], [0.7155, 0.0447, 0.3333], [0.3333, 0.6667, 0.9416], [0.3293, 0.2845, 0.3333], [0.2845, 0.9553, 0.6667], [0.6667, 0.3333, 0.0584], [0.6707, 0.7155, 0.6667], [0.9553, 0.6707, 0.3333], [0.0447, 0.3293, 0.6667], [0.0000, 0.0000, 0.0000], [0.0000, 0.0000, 0.5000]]}

***

{"formula": "Ba6Sb2AsO", "functional": "PBE", "state": "optimized geometry", "space_group": "P4/mmm", "volume_a3_per_atom": 40.66, "cell": [[-2.4762, 2.0708, -5.0000], [-4.6244, -3.6660, 0.7718], [-5.4223, 8.1126, 6.0453]], "species": ["Sb", "Sb", "Ba", "Ba", "Ba", "Ba", "Ba", "Ba", "O", "As"], "fractional_positions": [[0.0000, 0.0000, 0.2728], [0.0000, 0.0000, 0.7272], [0.0000, 0.5000, 0.0000], [0.5000, 0.0000, 0.0000], [0.5000, 0.5000, 0.7268], [0.0000, 0.5000, 0.5000], [0.5000, 0.0000, 0.5000], [0.5000, 0.5000, 0.2732], [0.5000, 0.5000, 0.5000], [0.5000, 0.5000, 0.0000]]}

***

{"formula": "BaScAs2O8", "functional": "PBE", "state": "optimized geometry", "space_group": "P-3", "volume_a3_per_atom": 17.02, "cell": [[-1.7696, 1.9178, -4.9459], [-1.3515, -5.1728, 1.6391], [-6.2505, 2.6697, 3.2716]], "species": ["As", "As", "O", "O", "O", "O", "O", "O", "O", "O", "Sc", "Ba"], "fractional_positions": [[0.3333, 0.6667, 0.7463], [0.6667, 0.3333, 0.2537], [0.6667, 0.3333, 0.0256], [0.1660, 0.8360, 0.6786], [0.6701, 0.8340, 0.6786], [0.1640, 0.3299, 0.6786], [0.8360, 0.6701, 0.3214], [0.3333, 0.6667, 0.9744], [0.3299, 0.1660, 0.3214], [0.8340, 0.1640, 0.3214], [0.0000, 0.0000, 0.5000], [0.0000, 0.0000, 0.0000]]}

***

{"formula": "BaSc3As4O12", "functional": "PBE", "state": "optimized geometry", "space_group": "R32", "volume_a3_per_atom": 14.69, "cell": [[-0.6217, 3.0131, -6.2365], [5.3153, -4.4349, -0.6628], [-5.6370, -4.0237, 0.6276]], "species": ["O", "O", "O", "O", "O", "O", "O", "O", "O", "O", "O", "O", "Sc", "Sc", "Sc", "Ba", "As", "As", "As", "As"], "fractional_positions": [[0.2740, 0.3722, 0.0175], [0.0175, 0.2740, 0.3722], [0.3722, 0.0175, 0.2740], [0.3228, 0.6772, 0.5000], [0.7260, 0.9825, 0.6278], [0.0650, 0.9350, 0.5000], [0.6772, 0.5000, 0.3228], [0.9825, 0.6278, 0.7260], [0.6278, 0.7260, 0.9825], [0.9350, 0.5000, 0.0650], [0.5000, 0.3228, 0.6772], [0.5000, 0.0650, 0.9350], [0.0000, 0.5768, 0.4232], [0.5768, 0.4232, 0.0000], [0.4232, 0.0000, 0.5768], [0.0000, 0.0000, 0.0000], [0.9034, 0.0966, 0.5000], [0.5000, 0.5000, 0.5000], [0.0966, 0.5000, 0.9034], [0.5000, 0.9034, 0.0966]]}

***

{"formula": "Ba2ScAsO6", "functional": "PBE", "state": "optimized geometry", "space_group": "P-3m1", "volume_a3_per_atom": 15.97, "cell": [[5.2668, 0.0000, 0.0000], [0.0000, 5.9177, 0.0000], [0.0000, -2.9588, 5.1249]], "species": ["Sc", "Ba", "Ba", "O", "O", "O", "O", "O", "O", "As"], "fractional_positions": [[0.5000, 0.0000, 0.0000], [0.8222, 0.6667, 0.3333], [0.1778, 0.3333, 0.6667], [0.2159, 0.2956, 0.1478], [0.7841, 0.1478, 0.2956], [0.7841, 0.1478, 0.8522], [0.7841, 0.7044, 0.8522], [0.2159, 0.8522, 0.7044], [0.2159, 0.8522, 0.1478], [0.0000, 0.0000, 0.0000]]}

***

{"formula": "BaAsSe2O8", "functional": "PBE", "state": "optimized geometry", "space_group": "C2/m", "volume_a3_per_atom": 15.98, "cell": [[-0.7375, 2.3147, 4.9396], [-5.5340, -0.9544, 2.6882], [-0.3850, -4.9003, 5.3061]], "species": ["O", "O", "O", "O", "O", "O", "O", "O", "Ba", "Se", "Se", "As"], "fractional_positions": [[0.3292, 0.4191, 0.9226], [0.1331, 0.0185, 0.2350], [0.6134, 0.0185, 0.2350], [0.8657, 0.6139, 0.6547], [0.3866, 0.9815, 0.7650], [0.6708, 0.5809, 0.0774], [0.8669, 0.9815, 0.7650], [0.1343, 0.3861, 0.3453], [0.5000, 0.5000, 0.5000], [0.7030, 0.7714, 0.8225], [0.2970, 0.2286, 0.1775], [0.0000, 0.0000, 0.0000]]}

***

{"formula": "Ba2AsSe4O3", "functional": "PBE", "state": "optimized geometry", "space_group": "Cm", "volume_a3_per_atom": 27.74, "cell": [[-0.2599, -6.0796, 1.9002], [5.7161, 0.3232, 2.8038], [-0.8543, -0.2841, 7.6627]], "species": ["As", "Se", "Se", "Se", "Se", "O", "O", "O", "Ba", "Ba"], "fractional_positions": [[0.6433, 0.6433, 0.5404], [0.2423, 0.2423, 0.5785], [0.7325, 0.7325, 0.1918], [0.0237, 0.6208, 0.5639], [0.6208, 0.0237, 0.5639], [0.2422, 0.3999, 0.0484], [0.3999, 0.2422, 0.0484], [0.0924, 0.0924, 0.8240], [0.2851, 0.8202, 0.0534], [0.8202, 0.2851, 0.0534]]}

***

E_tot readings, ordered: -52.9; -42.4; -20.9; -39.5; -31.8; -73.8; -40.3; -80.8; -138.3; -69.1; -65.9; -47.3 eV/f.u.